TbCeN2 | GGA-PBE | optimized geometry

The value obtained for the density of states at the Fermi level is 3.43 states/eV/cell. The crystal system is trigonal. The energy relative to the elements, uncorrected is -1.22 eV per atom. The total magnetic moment is 0.17 μB/atom.

abc: 3.4784 3.4784 6.0689
angles: 90.00 90.00 120.00
Space group P-3m1 (No. 164)
One atom of each set of equivalent atoms:
Tb 0.0000 0.0000 0.0000
Ce 0.0000 0.0000 0.5000
N 0.3333 0.6667 0.2485